# 1
# PBE NdScSb3, optimized geometry
# ΔE_f (raw)   -4.0 eV/f.u.
data_NdScSb3
_space_group_name_H-M_alt 'P b c m'
_space_group_IT_number 57
_cell_length_a 13.6138
_cell_length_b 6.1957
_cell_length_c 6.5226
_cell_angle_alpha 90.00
_cell_angle_beta 90.00
_cell_angle_gamma 90.00
loop_
_space_group_symop_operation_xyz
'x,y,z'
'-x,-y,-z'
'-x,-y,z+1/2'
'x,y,-z+1/2'
'x,-y+1/2,-z'
'-x,y+1/2,z'
'-x,y+1/2,-z+1/2'
'x,-y+1/2,z+1/2'
loop_
_atom_site_label
_atom_site_type_symbol
_atom_site_fract_x
_atom_site_fract_y
_atom_site_fract_z
Nd1 Nd 0.1796 0.0080 0.2500
Sc1 Sc 0.4054 0.7500 0.0000
Sb1 Sb 0.0020 0.7500 0.0000
Sb2 Sb 0.2614 0.0016 0.7500
Sb3 Sb 0.4232 0.1403 0.2500

***

# 2
# PBE ZrRuPb3, optimized geometry
# Calculated formation energy   1.2579 eV/atom
# E above lowest polymorph   512 meV per atom
data_ZrRuPb3
_space_group_name_H-M_alt 'P m -3 m'
_space_group_IT_number 221
_space_group_name_Hall '-P 4 2 3'
_cell_length_a 5.5948
_cell_length_b 5.5948
_cell_length_c 5.5948
_cell_angle_alpha 90.00
_cell_angle_beta 90.00
_cell_angle_gamma 90.00
loop_
_atom_site_label
_atom_site_type_symbol
_atom_site_fract_x
_atom_site_fract_y
_atom_site_fract_z
Zr1 Zr 0.0000 0.0000 0.0000
Ru1 Ru 0.5000 0.5000 0.5000
Pb1 Pb 0.0000 0.0000 0.5000

***

Calculated volume for every record listed, in sequence, given in Å³ per cell: 550.2, 175.1.
Energy for every record listed, in sequence, given in Ha/atom: -0.20199, -0.16654.